Entry from Alexandria: RbNa2PaTe4 after structural relaxation (PBE-GGA).

Unit cell a=8.436 b=7.604 c=7.604 alpha=67.40 beta=56.32 gamma=56.32
Atoms (fractional coordinates):
Rb1 0.000 0.000 0.000
Na1 0.249 0.251 0.251
Na2 0.751 0.749 0.749
Te1 0.134 0.866 0.454
Te2 0.546 0.454 0.866
Te3 0.866 0.546 0.134
Te4 0.454 0.134 0.546
Pa1 0.500 0.500 0.500

## Properties
Its symmetry is No. 23. As for the electronic total energy: -3.988 eV per atom. For the energy relative to the elements, uncorrected, the calculation gives -780 meV per atom. The value obtained for the total magnetic moment is 0.00 μB/cell.